Compound: Ti5Bi3B
Source: Alexandria via LeMat-Bulk
Functional: PBE
Structure: optimized geometry Values from VASP.

Structure (Quantum ESPRESSO input):
```
&SYSTEM
  ibrav = 0, nat = 18, ntyp = 3
/
ATOMIC_SPECIES
Bi 208.98 Bi.upf
B 10.81 B.upf
Ti 47.87 Ti.upf
CELL_PARAMETERS angstrom
-1.507 0.906 -5.265
7.974 1.116 -2.090
-3.366 -7.600 -0.345
ATOMIC_POSITIONS crystal
Bi 0.750 0.000 0.396
Bi 0.750 0.604 0.604
Bi 0.250 0.396 0.396
Bi 0.250 0.604 0.000
Bi 0.750 0.396 0.000
Bi 0.250 0.000 0.604
B 0.500 0.000 0.000
B 0.000 0.000 0.000
Ti 0.500 0.667 0.333
Ti 0.750 0.000 0.782
Ti 0.000 0.333 0.667
Ti 0.250 0.000 0.218
Ti 0.500 0.333 0.667
Ti 0.750 0.218 0.218
Ti 0.250 0.218 0.000
Ti 0.750 0.782 0.000
Ti 0.250 0.782 0.782
Ti 0.000 0.667 0.333
```

Computed properties:
As for the formation energy: -6.4 kcal/mol of atoms. Its total DFT energy (no corrections) is -120.6 eV for the cell shown. The value obtained for the density of states at the Fermi level is 0.4789 states/eV/atom.